Sc2Pt2Au | Alexandria | PBEsol | optimized geometry; total energy = -6.9808 eV/atom; V = 192.8 Å³/cell; DOS at the Fermi energy = 1.4 states/eV/f.u.; E_form = -0.77 eV/atom; space-group type = No. 139
1.0
3.732 0.000 0.000
0.000 3.732 0.000
0.000 0.000 13.838
Sc Pt Au
4 4 2
Direct
0.000 0.000 0.111
0.000 0.000 0.889
0.500 0.500 0.389
0.500 0.500 0.611
0.000 0.500 0.250
0.000 0.500 0.750
0.500 0.000 0.250
0.500 0.000 0.750
0.000 0.000 0.500
0.500 0.500 0.000

=====

SiPbAu | Alexandria | PBEsol | optimized geometry; total energy = -4.5233 eV/atom; V = 66.5 Å³/cell; DOS at the Fermi energy = 1.2 states/eV/f.u.; E_form (uncorrected) = 0.10 eV per formula unit; space-group type = No. 187
1.0
4.230 0.000 0.000
-2.115 3.663 0.000
0.000 0.000 4.290
Si Pb Au
1 1 1
Direct
0.000 0.000 0.000
0.667 0.333 0.500
0.333 0.667 0.000

=====

AlPbW | Alexandria | PBEsol | optimized geometry; total energy = -6.5073 eV/atom; V = 56.6 Å³/cell; DOS at the Fermi energy = 2.3 states/eV/f.u.; E_form = 0.79 eV/atom; space-group type = No. 187
1.0
4.720 0.000 0.000
-2.360 4.088 0.000
0.000 0.000 2.932
Al Pb W
1 1 1
Direct
0.000 0.000 0.000
0.333 0.667 0.500
0.667 0.333 0.000

=====

Si2Te3 | Alexandria | PBEsol | optimized geometry; total energy = -4.3978 eV/atom; V = 378.5 Å³/cell; DOS at the Fermi energy = 2.0 states/eV/f.u.; E_form (uncorrected) = 0.08 eV per formula unit; space-group type = No. 166
1.0
3.871 0.000 0.000
-1.936 3.353 0.000
0.000 0.000 29.159
Si Te
6 9
Direct
0.000 0.000 0.107
0.000 0.000 0.893
0.333 0.667 0.560
0.333 0.667 0.773
0.667 0.333 0.227
0.667 0.333 0.440
0.000 0.000 0.279
0.000 0.000 0.500
0.000 0.000 0.721
0.333 0.667 0.167
0.333 0.667 0.388
0.333 0.667 0.946
0.667 0.333 0.054
0.667 0.333 0.612
0.667 0.333 0.833

=====

Na2CoAsCO7 | Alexandria | PBEsol | optimized geometry; total energy = -6.5954 eV/atom; V = 299.0 Å³/cell; E_form (uncorrected) = -17.11 eV per formula unit; space-group type = No. 11
1.0
5.187 0.000 0.000
0.000 6.408 0.000
-0.439 0.000 8.994
Na Co As C O
4 2 2 2 14
Direct
0.238 0.009 0.269
0.238 0.491 0.269
0.762 0.509 0.731
0.762 0.991 0.731
0.209 0.250 0.838
0.791 0.750 0.162
0.285 0.750 0.930
0.715 0.250 0.070
0.281 0.250 0.584
0.719 0.750 0.416
0.054 0.250 0.641
0.134 0.750 0.095
0.199 0.545 0.815
0.199 0.955 0.815
0.321 0.250 0.449
0.382 0.250 0.033
0.464 0.250 0.691
0.536 0.750 0.309
0.618 0.750 0.967
0.679 0.750 0.551
0.801 0.045 0.185
0.801 0.455 0.185
0.866 0.250 0.905
0.946 0.750 0.359

=====

LiPbIO2 | Alexandria | PBEsol | optimized geometry; total energy = -3.5835 eV/atom; V = 93.5 Å³/cell; DOS at the Fermi energy = 1.4 states/eV/f.u.; E_form (uncorrected) = 0.31 eV per formula unit; space-group type = No. 123
1.0
4.249 0.000 0.000
0.000 4.249 0.000
0.000 0.000 5.178
Li Pb I O
1 1 1 2
Direct
0.000 0.000 0.000
0.000 0.000 0.500
0.500 0.500 0.500
0.000 0.500 0.000
0.500 0.000 0.000

=====

Tl3ReAs | Alexandria | PBEsol | optimized geometry; total energy = -4.2373 eV/atom; V = 145.7 Å³/cell; DOS at the Fermi energy = 2.6 states/eV/f.u.; E_form = 1.03 eV/atom; space-group type = No. 221
1.0
5.262 0.000 0.000
0.000 5.262 0.000
0.000 0.000 5.262
Tl Re As
3 1 1
Direct
0.000 0.000 0.500
0.000 0.500 0.000
0.500 0.000 0.000
0.000 0.000 0.000
0.500 0.500 0.500

=====

ZnTe2 | Alexandria | PBEsol | optimized geometry; total energy = -2.7530 eV/atom; V = 301.8 Å³/cell; DOS at the Fermi energy = 1.5 states/eV/f.u.; E_form (uncorrected) = 0.38 eV per formula unit; space-group type = No. 141
1.0
3.653 0.000 0.000
0.000 3.653 0.000
0.000 0.000 22.609
Zn Te
4 8
Direct
0.000 0.250 0.375
0.000 0.750 0.625
0.500 0.250 0.125
0.500 0.750 0.875
0.000 0.250 0.807
0.000 0.250 0.943
0.000 0.750 0.057
0.000 0.750 0.193
0.500 0.250 0.557
0.500 0.250 0.693
0.500 0.750 0.307
0.500 0.750 0.443

=====

Mg17Al11Sn | Alexandria | PBEsol | optimized geometry; total energy = -2.7253 eV/atom; V = 581.8 Å³/cell; DOS at the Fermi energy = 10.1 states/eV/f.u.; E_form = -0.02 eV/atom; space-group type = No. 8
1.0
5.261 -7.425 0.000
5.261 7.425 0.000
-5.220 0.000 7.447
Mg Al Sn
17 11 1
Direct
0.000 0.000 0.000
0.000 0.679 0.407
0.001 0.001 0.660
0.284 0.601 0.605
0.312 0.712 0.318
0.314 0.314 0.718
0.338 0.338 0.348
0.388 0.680 0.000
0.395 0.997 0.684
0.589 0.589 0.288
0.601 0.284 0.605
0.648 0.999 0.998
0.679 0.000 0.407
0.680 0.388 0.000
0.712 0.312 0.318
0.997 0.395 0.684
0.999 0.648 0.998
0.002 0.190 0.374
0.181 0.814 0.817
0.184 0.366 0.003
0.190 0.002 0.374
0.364 0.997 0.187
0.366 0.184 0.003
0.621 0.621 0.802
0.632 0.820 0.635
0.814 0.181 0.817
0.820 0.632 0.635
0.997 0.364 0.187
0.803 0.803 0.179

=====

Ni2MoW | Alexandria | PBEsol | optimized geometry; total energy = -9.4150 eV/atom; V = 103.7 Å³/cell; DOS at the Fermi energy = 3.6 states/eV/f.u.; E_form = 0.06 eV/atom; space-group type = No. 8
1.0
8.617 0.000 0.000
0.000 2.596 0.000
-0.661 0.000 4.635
Ni Mo W
4 2 2
Direct
0.000 0.000 0.000
0.244 0.500 0.252
0.500 0.500 0.000
0.744 0.000 0.252
0.492 0.000 0.473
0.992 0.500 0.473
0.253 0.000 0.778
0.753 0.500 0.778

=====

MoIrS2Cl | Alexandria | PBEsol | optimized geometry; total energy = -5.5258 eV/atom; V = 95.5 Å³/cell; DOS at the Fermi energy = 7.7 states/eV/f.u.; E_form (uncorrected) = 4.74 eV per formula unit; space-group type = No. 123
1.0
4.583 0.000 0.000
0.000 4.583 0.000
0.000 0.000 4.548
Mo Ir S Cl
1 1 2 1
Direct
0.000 0.000 0.000
0.500 0.500 0.500
0.000 0.500 0.000
0.500 0.000 0.000
0.000 0.000 0.500